LaRh2Cl | PBE | optimized geometry

```
data_LaRh2Cl
_chemical_formula_sum 'La1 Rh2 Cl1'
_space_group_name_H-M_alt 'P 1'
_space_group_IT_number 1
_space_group_name_Hall 'P 1'
_cell_length_a 4.7503
_cell_length_b 4.7503
_cell_length_c 4.7503
_cell_angle_alpha 60.00
_cell_angle_beta 60.00
_cell_angle_gamma 60.00
loop_
_atom_site_label
_atom_site_type_symbol
_atom_site_fract_x
_atom_site_fract_y
_atom_site_fract_z
Rh1 Rh 0.2500 0.2500 0.2500
La1 La 0.5000 0.5000 0.5000
Cl1 Cl 0.0000 0.0000 0.0000
Rh2 Rh 0.7500 0.7500 0.7500
```

Values from the calculation:
Total DFT energy (no corrections) = -5.52 eV per atom
Volume = 75.8 Å³ per cell
Fermi-level density of states = 2.26 states/eV per cell
Space group = Fm-3m, No. 225
Size of the total moment = 0.00 μB/cell
Distance to the lowest polymorph of the same formula = 0.462 eV/atom
ΔE_f (raw) = -0.61 eV/f.u.
Crystal system = cubic


LaRhCl2 | PBE | optimized geometry

```
data_LaRhCl2
_chemical_formula_sum 'La1 Rh1 Cl2'
_space_group_name_H-M_alt 'P 1'
_space_group_IT_number 1
_space_group_name_Hall 'P 1'
_cell_length_a 4.4289
_cell_length_b 4.4289
_cell_length_c 4.1652
_cell_angle_alpha 90.00
_cell_angle_beta 90.00
_cell_angle_gamma 90.00
loop_
_atom_site_label
_atom_site_type_symbol
_atom_site_fract_x
_atom_site_fract_y
_atom_site_fract_z
Cl1 Cl 0.0000 0.0000 0.0000
Rh1 Rh 0.0000 0.5000 0.5000
Cl2 Cl 0.5000 0.5000 0.0000
La1 La 0.5000 0.0000 0.5000
```

Values from the calculation:
Total DFT energy (no corrections) = -4.95 eV per atom
Volume = 81.7 Å³ per cell
Fermi-level density of states = 3.28 states/eV per cell
Space group = P4/mmm, No. 123
Size of the total moment = 0.38 μB/cell
Distance to the lowest polymorph of the same formula = 0.405 eV/atom
ΔE_f (raw) = -3.83 eV/f.u.
Crystal system = tetragonal


LaRh2Cl | PBE | optimized geometry

```
data_LaRh2Cl
_chemical_formula_sum 'La2 Rh4 Cl2'
_space_group_name_H-M_alt 'P 1'
_space_group_IT_number 1
_space_group_name_Hall 'P 1'
_cell_length_a 4.8827
_cell_length_b 4.8827
_cell_length_c 8.2707
_cell_angle_alpha 72.83
_cell_angle_beta 72.83
_cell_angle_gamma 90.00
loop_
_atom_site_label
_atom_site_type_symbol
_atom_site_fract_x
_atom_site_fract_y
_atom_site_fract_z
Rh1 Rh 0.3750 0.4956 0.7500
Cl1 Cl 0.5000 0.5000 0.0000
La1 La 0.0000 0.0000 0.0000
Cl2 Cl 0.2500 0.7500 0.5000
Rh2 Rh 0.8750 0.7544 0.7500
Rh3 Rh 0.5044 0.1250 0.2500
La2 La 0.7500 0.2500 0.5000
Rh4 Rh 0.2456 0.6250 0.2500
```

Values from the calculation:
Total DFT energy (no corrections) = -5.62 eV per atom
Volume = 179.2 Å³ per cell
Fermi-level density of states = 1.49 states/eV per cell
Space group = I-42d, No. 122
Size of the total moment = 0.00 μB/cell
Distance to the lowest polymorph of the same formula = 0.368 eV/atom
ΔE_f (raw) = -0.99 eV/f.u.
Crystal system = tetragonal


LaRhCl | PBE | optimized geometry

```
data_LaRhCl
_chemical_formula_sum 'La2 Rh2 Cl2'
_space_group_name_H-M_alt 'P 1'
_space_group_IT_number 1
_space_group_name_Hall 'P 1'
_cell_length_a 4.3617
_cell_length_b 4.3617
_cell_length_c 10.3949
_cell_angle_alpha 77.89
_cell_angle_beta 77.89
_cell_angle_gamma 60.00
loop_
_atom_site_label
_atom_site_type_symbol
_atom_site_fract_x
_atom_site_fract_y
_atom_site_fract_z
La1 La 0.5632 0.5632 0.3106
Cl1 Cl 0.7162 0.7162 0.8515
La2 La 0.4368 0.4368 0.6894
Cl2 Cl 0.2838 0.2838 0.1485
Rh1 Rh 0.8351 0.8351 0.4947
Rh2 Rh 0.1649 0.1649 0.5053
```

Values from the calculation:
Total DFT energy (no corrections) = -6.15 eV per atom
Volume = 166.2 Å³ per cell
Fermi-level density of states = 1.79 states/eV per cell
Space group = R-3m, No. 166
Size of the total moment = 0.00 μB/cell
ΔE_f (raw) = -4.33 eV/f.u.
Crystal system = trigonal